Here is a relaxed structure of TmMnTl2Se4 from the Alexandria database. Energies are from GGA-PBE.

Computed properties:
For the total energy, the calculation gives -4.895 eV/atom. The raw formation energy is -6.850 eV per formula unit. The crystal system is monoclinic. The symmetry is P2/m.

a = 4.004 Å, b = 7.976 Å, c = 6.930 Å
α = 73.12°, β = 90.00°, γ = 90.00°
Last column: magnetic moment on the atom in μB.
Positions (direct):
Se (0.000, 0.689, 0.789)  -0.04
Tl (0.000, 0.000, 0.000)  0.01
Se (0.500, 0.299, 0.747)  -0.01
Se (0.000, 0.311, 0.211)  -0.04
Tl (0.500, 0.000, 0.500)  0.01
Mn (0.500, 0.500, 0.000)  3.87
Tm (0.000, 0.500, 0.500)  0.04
Se (0.500, 0.701, 0.253)  -0.01

---

Here is a relaxed structure of La3Sm2ErAs6 from the Alexandria database. Energies are from GGA-PBE.

Computed properties:
For the total energy, the calculation gives -6.264 eV/atom. As for the formation energy: -1.541 eV/atom. The crystal system is monoclinic. The symmetry is C2/m.

a = 7.405 Å, b = 7.405 Å, c = 7.401 Å
α = 99.60°, β = 99.60°, γ = 120.00°
Positions (direct):
As (0.920, 0.591, 0.761)
As (0.591, 0.920, 0.761)
La (0.832, 0.168, 0.500)
La (0.168, 0.832, 0.500)
Sm (0.666, 0.334, 0.000)
Er (0.000, 0.000, 0.000)
La (0.500, 0.500, 0.500)
Sm (0.334, 0.666, 0.000)
As (0.249, 0.249, 0.760)
As (0.751, 0.751, 0.240)
As (0.409, 0.080, 0.239)
As (0.080, 0.409, 0.239)

---

Here is a relaxed structure of Na5ZnTeO2 from the Alexandria database. Energies are from GGA-PBE.

Computed properties:
For the total energy, the calculation gives -3.380 eV/atom. The raw formation energy is -9.496 eV per formula unit. The crystal system is tetragonal. The symmetry is P4/mmm.

a = 4.778 Å, b = 4.778 Å, c = 8.736 Å
α = 90.00°, β = 90.00°, γ = 90.00°
Positions (direct):
Na (0.000, 0.500, 0.246)
O (0.000, 0.000, 0.211)
O (0.000, 0.000, 0.789)
Na (0.000, 0.500, 0.754)
Te (0.500, 0.500, 0.500)
Zn (0.000, 0.000, 0.000)
Na (0.500, 0.000, 0.246)
Na (0.000, 0.000, 0.500)
Na (0.500, 0.000, 0.754)

---

Here is a relaxed structure of YTa3Ga from the Alexandria database. Energies are from GGA-PBE.

Computed properties:
For the total energy, the calculation gives -8.075 eV/atom. The energy above the most stable polymorph in this dataset is 0.000 eV per formula unit. As for the formation energy: 0.935 eV/atom. The crystal system is cubic. The symmetry is Pm-3m.

a = 4.857 Å, b = 4.857 Å, c = 4.857 Å
α = 90.00°, β = 90.00°, γ = 90.00°
Positions (direct):
Ga (0.000, 0.000, 0.000)
Ta (0.000, 0.500, 0.000)
Ta (0.000, 0.000, 0.500)
Ta (0.500, 0.000, 0.000)
Y (0.500, 0.500, 0.500)

---

Here is a relaxed structure of ScGa2Pd3 from the Alexandria database. Energies are from GGA-PBE.

Computed properties:
For the total energy, the calculation gives -5.427 eV/atom. As for the formation energy: -0.767 eV/atom. The crystal system is trigonal. The symmetry is P-3m1.

a = 4.480 Å, b = 4.480 Å, c = 10.963 Å
α = 90.00°, β = 90.00°, γ = 120.00°
Positions (direct):
Ga (0.000, 0.000, 0.500)
Sc (0.667, 0.333, 0.329)
Pd (0.333, 0.667, 0.420)
Pd (0.667, 0.333, 0.071)
Pd (0.667, 0.333, 0.580)
Pd (0.000, 0.000, 0.768)
Ga (0.000, 0.000, 0.000)
Pd (0.333, 0.667, 0.929)
Ga (0.333, 0.667, 0.174)
Sc (0.333, 0.667, 0.671)
Ga (0.667, 0.333, 0.826)
Pd (0.000, 0.000, 0.232)

---

Here is a relaxed structure of RbTb3Te4O12 from the Alexandria database. Energies are from GGA-PBE.

Computed properties:
For the total energy, the calculation gives -6.092 eV/atom. The raw formation energy is -34.912 eV per formula unit. The crystal system is trigonal. The symmetry is R32.

a = 7.872 Å, b = 7.872 Å, c = 7.872 Å
α = 110.56°, β = 110.56°, γ = 110.56°
Positions (direct):
O (0.853, 0.207, 0.325)
Te (0.942, 0.058, 0.500)
Tb (0.440, 0.000, 0.560)
Te (0.500, 0.500, 0.500)
Tb (0.000, 0.560, 0.440)
O (0.675, 0.793, 0.147)
Tb (0.560, 0.440, 0.000)
O (0.207, 0.325, 0.853)
O (0.097, 0.903, 0.500)
O (0.325, 0.853, 0.207)
O (0.500, 0.097, 0.903)
O (0.793, 0.147, 0.675)
O (0.903, 0.500, 0.097)
Te (0.500, 0.942, 0.058)
O (0.500, 0.336, 0.664)
O (0.336, 0.664, 0.500)
Rb (0.000, 0.000, 0.000)
Te (0.058, 0.500, 0.942)
O (0.147, 0.675, 0.793)
O (0.664, 0.500, 0.336)